Entry from the Alexandria database: a crystal of Ce3CuSiSe7 relaxed with PBEsol (SCAN).

Results
* formation energy (no corrections): -147.3 kJ/mol of atoms
* symmetry: P6_3, No. 173
* total magnetic moment: 6.00 μB/cell
* volume: 562.48 Å³/cell
* calculated density: 6.29 g/cm3

Cell: 10.438 10.438 5.962 Å, 90.00 90.00 120.00°
Positions (direct):
Ce 0.129 0.356 0.000
Ce 0.227 0.871 0.000
Ce 0.356 0.227 0.500
Ce 0.644 0.773 0.000
Ce 0.773 0.129 0.500
Ce 0.871 0.644 0.500
Cu 0.000 0.000 0.476
Cu 0.000 0.000 0.976
Si 0.333 0.667 0.587
Si 0.667 0.333 0.087
Se 0.093 0.256 0.488
Se 0.101 0.580 0.733
Se 0.164 0.907 0.488
Se 0.256 0.164 0.988
Se 0.333 0.667 0.208
Se 0.420 0.520 0.733
Se 0.480 0.899 0.733
Se 0.520 0.101 0.233
Se 0.580 0.480 0.233
Se 0.667 0.333 0.708
Se 0.744 0.836 0.488
Se 0.836 0.093 0.988
Se 0.899 0.420 0.233
Se 0.907 0.744 0.988